The following is a PBE calculation of a relaxed TeIrW2 crystal, from the Alexandria database.

abc: 9.5795 3.0938 4.7349
angles: 90.00 96.34 90.00
Closest atoms and distances in Å follow each position.
Space group C2/m (No. 12)
Symmetry-distinct sites (fractional):
Te: 0.0000 0.0000 0.0000  2 W 2.73, 4 Ir 2.83
Ir: 0.0000 0.5000 0.5000  4 Te 2.83, 6 W 2.83-2.85, 2 Ir 3.09
W: 0.2345 0.0000 0.7197  2 W 2.64, 1 Te 2.73, 3 Ir 2.83-2.85

volume	17.4	Å³/atom
formation energy (no corrections)	494	meV/atom

---

The following is a PBE calculation of a relaxed TeIrW2 crystal, from the Alexandria database.

abc: 4.7517 4.7517 2.9866
angles: 90.00 90.00 90.00
Closest atoms and distances in Å follow each position.
Space group P4/mmm (No. 123)
Symmetry-distinct sites (fractional):
Te: 0.0000 0.0000 0.0000  8 W 2.81, 2 Te 2.99
Ir: 0.5000 0.5000 0.0000  8 W 2.81, 2 Ir 2.99
W: 0.0000 0.5000 0.5000  4 Te 2.81, 4 Ir 2.81, 2 W 2.99

volume	16.9	Å³/atom
formation energy (no corrections)	527	meV/atom

---

The following is a PBE calculation of a relaxed TeIrW2 crystal, from the Alexandria database.

abc: 2.9860 2.9860 26.5192
angles: 90.00 90.00 120.00
Closest atoms and distances in Å follow each position.
Space group R-3m (No. 166, hexagonal axes)
Symmetry-distinct sites (fractional):
Te: 0.0000 0.0000 0.0000  6 W 2.84, 6 Te 2.99
Ir: 0.0000 0.0000 0.5000  6 W 2.76, 6 Ir 2.99
W: 0.0000 0.0000 0.2481  3 Ir 2.76, 3 Te 2.84, 6 W 2.99

volume	17.1	Å³/atom
formation energy (no corrections)	536	meV/atom

---

The following is a PBE calculation of a relaxed Te4IrW crystal, from the Alexandria database.

abc: 14.3536 3.7614 6.3155
angles: 90.00 101.88 90.00
Closest atoms and distances in Å follow each position.
Space group Cm (No. 8)
Symmetry-distinct sites (fractional):
Te: 0.0000 0.0000 0.0000  1 Ir 2.74, 2 W 2.79
Te: 0.0350 0.5000 0.5265  1 W 2.62, 2 Ir 2.73
Te: 0.2622 0.5000 0.2246  1 Ir 2.68, 2 W 2.74
Te: 0.3054 0.0000 0.7398  2 Ir 2.67, 1 W 2.84
Ir: 0.4031 0.5000 0.5772  6 Te 2.67-2.74
W: 0.3966 0.0000 0.1846  6 Te 2.62-2.84

volume	27.8	Å³/atom
distance to the lowest polymorph of the same formula	0.000	kcal/mol of atoms
formation energy (no corrections)	-108	meV/atom

---

The following is a PBE calculation of a relaxed TeIr2W crystal, from the Alexandria database.

abc: 2.9296 3.7729 6.2162
angles: 90.00 90.00 90.00
Closest atoms and distances in Å follow each position.
Space group Pmm2 (No. 25)
Symmetry-distinct sites (fractional):
Te: 0.0000 0.0000 0.0000  5 Ir 2.82-3.03, 2 Te 2.93, 4 W 3.10
Ir: 0.0000 0.0000 0.5120  4 W 2.68, 6 Ir 2.84-2.93
Ir: 0.5000 0.5000 0.7581  1 W 2.74, 4 Te 2.82, 6 Ir 2.84-2.93
W: 0.5000 0.5000 0.3169  5 Ir 2.68-2.74, 2 W 2.93

volume	17.2	Å³/atom
formation energy (no corrections)	418	meV/atom

---

The following is a PBE calculation of a relaxed TeIr3W crystal, from the Alexandria database.

abc: 4.7898 4.7898 4.7898
angles: 90.00 90.00 90.00
Closest atoms and distances in Å follow each position.
Space group Pm-3m (No. 221)
Symmetry-distinct sites (fractional):
Te: 0.0000 0.0000 0.0000  12 Ir 3.39
Ir: 0.0000 0.5000 0.5000  2 W 2.39
W: 0.5000 0.5000 0.5000  6 Ir 2.39

volume	22.0	Å³/atom
distance to the lowest polymorph of the same formula	0.000	kcal/mol of atoms
formation energy (no corrections)	1536	meV/atom

---

The following is a PBE calculation of a relaxed TeIr2W crystal, from the Alexandria database.

abc: 2.9374 2.9374 27.8022
angles: 90.00 90.00 120.00
Closest atoms and distances in Å follow each position.
Space group R-3m (No. 166, hexagonal axes)
Symmetry-distinct sites (fractional):
Te: 0.0000 0.0000 0.0000  6 Te 2.94, 6 Ir 3.05
Ir: 0.0000 0.0000 0.2422  3 W 2.70, 6 Ir 2.94
W: 0.0000 0.0000 0.5000  6 Ir 2.70, 6 W 2.94

volume	17.3	Å³/atom
formation energy (no corrections)	316	meV/atom

---

The following is a PBE calculation of a relaxed TeIrW2 crystal, from the Alexandria database.

abc: 5.9260 5.9260 11.5960
angles: 90.00 90.00 90.00
Closest atoms and distances in Å follow each position.
Space group I-42d (No. 122)
Symmetry-distinct sites (fractional):
Te: 0.0000 0.0000 0.0000  4 W 2.68
Ir: 0.0000 0.0000 0.5000  4 W 2.43
W: 0.2133 0.2500 0.6250  2 Ir 2.43, 2 Te 2.68

volume	25.5	Å³/atom
formation energy (no corrections)	1108	meV/atom

---

The following is a PBE calculation of a relaxed TeIrW4 crystal, from the Alexandria database.

abc: 7.5254 7.5254 7.5254
angles: 90.00 90.00 90.00
Closest atoms and distances in Å follow each position.
Space group F-43m (No. 216)
Symmetry-distinct sites (fractional):
Te: 0.0000 0.0000 0.0000  12 W 3.12, 4 Ir 3.26
Ir: 0.2500 0.2500 0.2500  12 W 3.12, 4 Te 3.26
W: 0.1248 0.1248 0.6248  6 W 2.66-2.67

volume	17.8	Å³/atom
formation energy (no corrections)	822	meV/atom

---

The following is a PBE calculation of a relaxed TeIrW2 crystal, from the Alexandria database.

abc: 4.0760 4.0760 8.1408
angles: 90.00 90.00 90.00
Closest atoms and distances in Å follow each position.
Space group I-4m2 (No. 119)
Symmetry-distinct sites (fractional):
Te: 0.0000 0.0000 0.0000  8 W 2.88, 4 Ir 2.88
Ir: 0.0000 0.5000 0.2500  8 W 2.88, 4 Te 2.88
W: 0.0000 0.0000 0.5000  4 W 2.88, 4 Ir 2.88, 4 Te 2.88
W: 0.0000 0.5000 0.7500  4 W 2.88, 4 Te 2.88, 4 Ir 2.88

volume	16.9	Å³/atom
formation energy (no corrections)	671	meV/atom

---

The following is a PBE calculation of a relaxed TeIr2W crystal, from the Alexandria database.

abc: 2.9642 2.9642 26.8596
angles: 90.00 90.00 120.00
Closest atoms and distances in Å follow each position.
Space group R3m (No. 160, hexagonal axes)
Symmetry-distinct sites (fractional):
Te: 0.0000 0.0000 0.0000  3 Ir 2.78, 6 Te 2.96, 3 W 2.99
Ir: 0.0000 0.0000 0.2519  3 Te 2.78, 9 Ir 2.85-2.96
Ir: 0.0000 0.0000 0.5006  3 W 2.66, 9 Ir 2.85-2.96
W: 0.0000 0.0000 0.7579  3 Ir 2.66, 6 W 2.96

volume	17.0	Å³/atom
formation energy (no corrections)	535	meV/atom

---

The following is a PBE calculation of a relaxed TeIrW2 crystal, from the Alexandria database.

abc: 2.8826 4.1965 5.8805
angles: 90.00 100.56 90.00
Closest atoms and distances in Å follow each position.
Space group P2/m (No. 10)
Symmetry-distinct sites (fractional):
Te: 0.0000 0.0000 0.0000  4 W 2.78, 2 Te 2.88, 2 Ir 2.94
Ir: 0.0000 0.0000 0.5000  8 W 2.82-2.87, 2 Ir 2.88, 2 Te 2.94
W: 0.4008 0.5000 0.2788  1 W 2.56, 2 Te 2.78, 2 Ir 2.82

volume	17.5	Å³/atom
formation energy (no corrections)	576	meV/atom

---

The following is a PBE calculation of a relaxed TeIr3W crystal, from the Alexandria database.

abc: 4.7548 4.7548 4.7548
angles: 90.00 90.00 90.00
Closest atoms and distances in Å follow each position.
Space group Pm-3m (No. 221)
Symmetry-distinct sites (fractional):
Te: 0.0000 0.0000 0.0000  6 Ir 2.38
Ir: 0.0000 0.0000 0.5000  2 Te 2.38
W: 0.5000 0.5000 0.5000  12 Ir 3.36

volume	21.5	Å³/atom
distance to the lowest polymorph of the same formula	17.754	kcal/mol of atoms
formation energy (no corrections)	2306	meV/atom

---

The following is a PBE calculation of a relaxed YTe2Ir crystal, from the Alexandria database.

abc: 3.9972 4.0797 12.0301
angles: 90.00 90.00 90.00
Closest atoms and distances in Å follow each position.
Space group Amm2 (No. 38)
Symmetry-distinct sites (fractional):
Y: 0.0000 0.0000 0.0000  2 Ir 2.96, 6 Te 3.07-3.22
Te: 0.0000 0.0000 0.7069  4 Ir 2.87
Te: 0.5000 0.0000 0.4061  1 Ir 2.70
Ir: 0.5000 0.0000 0.1816  5 Te 2.70-2.87, 2 Y 2.96

volume	24.5	Å³/atom
distance to the lowest polymorph of the same formula	3.068	kcal/mol of atoms
formation energy (no corrections)	-594	meV/atom

---

The following is a PBE calculation of a relaxed YTeIr2 crystal, from the Alexandria database.

abc: 4.3655 4.3655 3.9958
angles: 90.00 90.00 90.00
Closest atoms and distances in Å follow each position.
Space group P4/mmm (No. 123)
Symmetry-distinct sites (fractional):
Y: 0.0000 0.0000 0.0000  8 Ir 2.96, 4 Te 3.09
Te: 0.5000 0.5000 0.0000  8 Ir 2.96, 4 Y 3.09
Ir: 0.0000 0.5000 0.5000  4 Te 2.96, 4 Y 2.96, 4 Ir 3.09

volume	19.0	Å³/atom
formation energy (no corrections)	-301	meV/atom